# 1
Below is a relaxed NdErAg2O4 crystal, with properties calculated at the PBE level.

```
data_NdErAg2O4
_chemical_formula_sum 'Nd1 Er1 Ag2 O4'
_cell_length_a 3.5612
_cell_length_b 3.5612
_cell_length_c 12.5063
_cell_angle_alpha 90.00
_cell_angle_beta 90.00
_cell_angle_gamma 120.00
_space_group_name_H-M_alt 'P -3 m 1'
_space_group_IT_number 164
_space_group_name_Hall '-P 3 2"'
loop_
_atom_site_label
_atom_site_type_symbol
_atom_site_fract_x
_atom_site_fract_y
_atom_site_fract_z
_atom_site_occupancy
Nd1 Nd 0.0000 0.0000 0.0000 1
Er1 Er 0.0000 0.0000 0.5000 1
Ag1 Ag 0.3333 0.6667 0.7443 1
O1 O 0.3333 0.6667 0.5790 1
O2 O 0.3333 0.6667 0.9094 1
```

DFT total energy   -52.4 eV per formula unit
Theoretical density   7.15 g/cm³
Total magnetic moment   0.0 μB per formula unit

---

# 2
Below is a relaxed RbPmCo crystal, with properties calculated at the PBE level.

```
data_RbPmCo
_chemical_formula_sum 'Rb4 Pm4 Co4'
_cell_length_a 7.096
_cell_length_b 7.096
_cell_length_c 7.096
_cell_angle_alpha 90.00
_cell_angle_beta 90.00
_cell_angle_gamma 90.00
_space_group_name_H-M_alt 'F -4 3 m'
_space_group_IT_number 216
_space_group_name_Hall 'F -4 2 3'
loop_
_atom_site_label
_atom_site_type_symbol
_atom_site_fract_x
_atom_site_fract_y
_atom_site_fract_z
_atom_site_occupancy
Rb1 Rb 0.000 0.000 0.000 1
Pm1 Pm 0.000 0.000 0.500 1
Co1 Co 0.250 0.250 0.750 1
```

ΔE to the lowest computed polymorph   0.0 meV per atom
DFT total energy   -10.0 eV per formula unit
Theoretical density   5.38 g/cm³
Total magnetic moment   0.4 μB per formula unit

---

# 3
Below is a relaxed Sr3Ir3N5O4 crystal, with properties calculated at the PBE level.

```
data_Sr3Ir3N5O4
_chemical_formula_sum 'Sr3 Ir3 N5 O4'
_cell_length_a 5.969
_cell_length_b 3.743
_cell_length_c 9.141
_cell_angle_alpha 90.00
_cell_angle_beta 97.51
_cell_angle_gamma 90.00
_space_group_name_H-M_alt 'P 1 2/m 1'
_space_group_IT_number 10
_space_group_name_Hall '-P 2y'
loop_
_atom_site_label
_atom_site_type_symbol
_atom_site_fract_x
_atom_site_fract_y
_atom_site_fract_z
_atom_site_occupancy
Sr1 Sr 0.000 0.000 0.000 1
Sr2 Sr 0.277 0.000 0.650 1
Ir1 Ir 0.207 0.500 0.332 1
Ir2 Ir 0.500 0.500 0.000 1
N1 N 0.198 0.000 0.347 1
N2 N 0.376 0.500 0.176 1
N3 N 0.500 0.000 0.000 1
O1 O 0.000 0.500 0.500 1
O2 O 0.084 0.500 0.811 1
O3 O 0.500 0.500 0.500 1
```

DFT total energy   -102.8 eV per formula unit
Theoretical density   7.98 g/cm³
Total magnetic moment   0.2 μB per formula unit

---

# 4
Below is a relaxed Er2Tm5Ni2Te2 crystal, with properties calculated at the PBE level.

```
data_Er2Tm5Ni2Te2
_chemical_formula_sum 'Er4 Tm10 Ni4 Te4'
_cell_length_a 3.818
_cell_length_b 15.431
_cell_length_c 9.461
_cell_angle_alpha 90.00
_cell_angle_beta 90.00
_cell_angle_gamma 90.00
_space_group_name_H-M_alt 'I m m 2'
_space_group_IT_number 44
_space_group_name_Hall 'I 2 -2'
loop_
_atom_site_label
_atom_site_type_symbol
_atom_site_fract_x
_atom_site_fract_y
_atom_site_fract_z
_atom_site_occupancy
Er1 Er 0.000 0.146 0.000 1
Tm1 Tm 0.000 0.185 0.351 1
Tm2 Tm 0.000 0.367 0.147 1
Tm3 Tm 0.000 0.500 0.730 1
Ni1 Ni 0.000 0.262 0.658 1
Te1 Te 0.000 0.000 0.495 1
Te2 Te 0.000 0.500 0.393 1
```

ΔE to the lowest computed polymorph   0.0 meV per atom
DFT total energy   -56.4 eV per formula unit
Theoretical density   9.25 g/cm³
Total magnetic moment   0.0 μB per formula unit

---

# 5
Below is a relaxed Co2CuB crystal, with properties calculated at the PBE level.

```
data_Co2CuB
_chemical_formula_sum 'Co8 Cu4 B4'
_cell_length_a 5.393
_cell_length_b 5.393
_cell_length_c 5.393
_cell_angle_alpha 90.00
_cell_angle_beta 90.00
_cell_angle_gamma 90.00
_space_group_name_H-M_alt 'F -4 3 m'
_space_group_IT_number 216
_space_group_name_Hall 'F -4 2 3'
loop_
_atom_site_label
_atom_site_type_symbol
_atom_site_fract_x
_atom_site_fract_y
_atom_site_fract_z
_atom_site_occupancy
Co1 Co 0.000 0.000 0.000 1
Co2 Co 0.250 0.250 0.250 1
Cu1 Cu 0.000 0.000 0.500 1
B1 B 0.250 0.250 0.750 1
```

DFT total energy   -22.8 eV per formula unit
Theoretical density   8.14 g/cm³
Total magnetic moment   0.0 μB per formula unit

---

# 6
Below is a relaxed Mg2FeCu4Ni crystal, with properties calculated at the PBE level.

```
data_Mg2FeCu4Ni
_chemical_formula_sum 'Mg2 Fe1 Cu4 Ni1'
_cell_length_a 4.233
_cell_length_b 4.233
_cell_length_c 5.805
_cell_angle_alpha 90.00
_cell_angle_beta 90.00
_cell_angle_gamma 90.00
_space_group_name_H-M_alt 'P 4/m m m'
_space_group_IT_number 123
_space_group_name_Hall '-P 4 2'
loop_
_atom_site_label
_atom_site_type_symbol
_atom_site_fract_x
_atom_site_fract_y
_atom_site_fract_z
_atom_site_occupancy
Mg1 Mg 0.000 0.000 0.000 1
Mg2 Mg 0.500 0.500 0.500 1
Fe1 Fe 0.000 0.000 0.500 1
Cu1 Cu 0.000 0.500 0.251 1
Ni1 Ni 0.500 0.500 0.000 1
```

ΔE to the lowest computed polymorph   0.0 meV per atom
DFT total energy   -31.5 eV per formula unit
Theoretical density   6.66 g/cm³
Total magnetic moment   2.6 μB per formula unit

---

# 7
Below is a relaxed AcLuNb crystal, with properties calculated at the PBE level.

```
data_AcLuNb
_chemical_formula_sum 'Ac4 Lu4 Nb4'
_cell_length_a 7.392
_cell_length_b 7.392
_cell_length_c 7.392
_cell_angle_alpha 90.00
_cell_angle_beta 90.00
_cell_angle_gamma 90.00
_space_group_name_H-M_alt 'F -4 3 m'
_space_group_IT_number 216
_space_group_name_Hall 'F -4 2 3'
loop_
_atom_site_label
_atom_site_type_symbol
_atom_site_fract_x
_atom_site_fract_y
_atom_site_fract_z
_atom_site_occupancy
Ac1 Ac 0.000 0.000 0.000 1
Lu1 Lu 0.250 0.250 0.750 1
Nb1 Nb 0.250 0.250 0.250 1
```

ΔE to the lowest computed polymorph   614.2 meV per atom
DFT total energy   -14.5 eV per formula unit
Theoretical density   8.14 g/cm³
Total magnetic moment   1.5 μB per formula unit
Calculated formation energy   1.418 eV per atom

---

# 8
Below is a relaxed KTlGaPt crystal, with properties calculated at the PBE level.

```
data_KTlGaPt
_chemical_formula_sum 'K4 Tl4 Ga4 Pt4'
_cell_length_a 4.444
_cell_length_b 13.045
_cell_length_c 7.456
_cell_angle_alpha 90.00
_cell_angle_beta 90.00
_cell_angle_gamma 90.00
_space_group_name_H-M_alt 'C m c 21'
_space_group_IT_number 36
_space_group_name_Hall 'C 2c -2'
loop_
_atom_site_label
_atom_site_type_symbol
_atom_site_fract_x
_atom_site_fract_y
_atom_site_fract_z
_atom_site_occupancy
K1 K 0.000 0.058 0.000 1
Tl1 Tl 0.000 0.362 0.150 1
Ga1 Ga 0.000 0.287 0.761 1
Pt1 Pt 0.000 0.214 0.439 1
```

ΔE to the lowest computed polymorph   43.4 meV per atom
DFT total energy   -13.7 eV per formula unit
Theoretical density   7.81 g/cm³
Total magnetic moment   0.0 μB per formula unit

---

# 9
Below is a relaxed GdSnMo crystal, with properties calculated at the PBE level.

```
data_GdSnMo
_chemical_formula_sum 'Gd4 Sn4 Mo4'
_cell_length_a 6.735
_cell_length_b 6.735
_cell_length_c 6.735
_cell_angle_alpha 90.00
_cell_angle_beta 90.00
_cell_angle_gamma 90.00
_space_group_name_H-M_alt 'F -4 3 m'
_space_group_IT_number 216
_space_group_name_Hall 'F -4 2 3'
loop_
_atom_site_label
_atom_site_type_symbol
_atom_site_fract_x
_atom_site_fract_y
_atom_site_fract_z
_atom_site_occupancy
Gd1 Gd 0.000 0.000 0.000 1
Sn1 Sn 0.000 0.000 0.500 1
Mo1 Mo 0.250 0.250 0.250 1
```

ΔE to the lowest computed polymorph   0.0 meV per atom
DFT total energy   -18.2 eV per formula unit
Theoretical density   8.08 g/cm³
Total magnetic moment   0.9 μB per formula unit

---

# 10
Below is a relaxed KSrIn4Pd2 crystal, with properties calculated at the PBE level.

```
data_KSrIn4Pd2
_chemical_formula_sum 'K2 Sr2 In8 Pd4'
_cell_length_a 8.042
_cell_length_b 4.592
_cell_length_c 11.124
_cell_angle_alpha 90.00
_cell_angle_beta 90.00
_cell_angle_gamma 90.00
_space_group_name_H-M_alt 'A m m 2'
_space_group_IT_number 38
_space_group_name_Hall 'A 2 -2'
loop_
_atom_site_label
_atom_site_type_symbol
_atom_site_fract_x
_atom_site_fract_y
_atom_site_fract_z
_atom_site_occupancy
K1 K 0.000 0.000 0.000 1
Sr1 Sr 0.500 0.000 0.116 1
In1 In 0.194 0.000 0.714 1
In2 In 0.304 0.000 0.404 1
Pd1 Pd 0.000 0.000 0.277 1
Pd2 Pd 0.500 0.000 0.838 1
```

DFT total energy   -27.7 eV per formula unit
Theoretical density   6.46 g/cm³

---

# 11
Below is a relaxed Ga40Mo8C crystal, with properties calculated at the PBE level.

```
data_Ga40Mo8C
_chemical_formula_sum 'Ga120 Mo24 C3'
_cell_length_a 14.0224
_cell_length_b 14.0224
_cell_length_c 15.3096
_cell_angle_alpha 90.00
_cell_angle_beta 90.00
_cell_angle_gamma 120.00
_space_group_name_H-M_alt 'R -3'
_space_group_IT_number 148
_space_group_name_Hall '-R 3'
loop_
_atom_site_label
_atom_site_type_symbol
_atom_site_fract_x
_atom_site_fract_y
_atom_site_fract_z
_atom_site_occupancy
Ga1 Ga 0.0000 0.0000 0.0000 1
Ga2 Ga 0.0002 0.1836 0.2844 1
Ga3 Ga 0.0000 0.5000 0.5000 1
Ga4 Ga 0.0100 0.6931 0.2674 1
Ga5 Ga 0.0112 0.8815 0.1609 1
Ga6 Ga 0.0145 0.1430 0.5928 1
Ga7 Ga 0.0187 0.5346 0.1613 1
Ga8 Ga 0.0946 0.5358 0.6684 1
Mo1 Mo 0.0000 0.0000 0.2889 1
Mo2 Mo 0.0184 0.7053 0.0964 1
C1 C 0.0000 0.0000 0.5000 1
```

DFT total energy   -220.5 eV per formula unit
Theoretical density   6.82 g/cm³
Total magnetic moment   0.0 μB per formula unit

---

> Among the records above, which one has the highest theoretical density?

Er2Tm5Ni2Te2

---

> Number 10 is which compound?

KSrIn4Pd2

---

What did the ninth record say?
Below is a relaxed GdSnMo crystal, with properties calculated at the PBE level.

```
data_GdSnMo
_chemical_formula_sum 'Gd4 Sn4 Mo4'
_cell_length_a 6.735
_cell_length_b 6.735
_cell_length_c 6.735
_cell_angle_alpha 90.00
_cell_angle_beta 90.00
_cell_angle_gamma 90.00
_space_group_name_H-M_alt 'F -4 3 m'
_space_group_IT_number 216
_space_group_name_Hall 'F -4 2 3'
loop_
_atom_site_label
_atom_site_type_symbol
_atom_site_fract_x
_atom_site_fract_y
_atom_site_fract_z
_atom_site_occupancy
Gd1 Gd 0.000 0.000 0.000 1
Sn1 Sn 0.000 0.000 0.500 1
Mo1 Mo 0.250 0.250 0.250 1
```

ΔE to the lowest computed polymorph   0.0 meV per atom
DFT total energy   -18.2 eV per formula unit
Theoretical density   8.08 g/cm³
Total magnetic moment   0.9 μB per formula unit